The following is a PBE calculation of a relaxed PmSm12Tm6 crystal, from Alexandria via LeMat-Bulk.

- DOS(E_F) (states/eV per atom) = 1.913
- crystal system = trigonal
- offset from the most stable computed form (meV per atom) = 57

Cell lengths 8.759, 8.759, 8.759 Å; angles 98.93, 98.93, 98.93 degrees
Fractional coordinates of all 19 atoms:
1 Pm 0.000 0.000 0.000
2 Sm 0.082 0.354 0.354
3 Sm 0.242 0.500 0.758
4 Sm 0.242 0.758 0.500
5 Sm 0.354 0.082 0.354
6 Sm 0.354 0.354 0.082
7 Sm 0.500 0.242 0.758
8 Sm 0.500 0.758 0.242
9 Sm 0.646 0.646 0.918
10 Sm 0.646 0.918 0.646
11 Sm 0.758 0.242 0.500
12 Sm 0.758 0.500 0.242
13 Sm 0.918 0.646 0.646
14 Tm 0.100 0.100 0.662
15 Tm 0.100 0.662 0.100
16 Tm 0.338 0.900 0.900
17 Tm 0.662 0.100 0.100
18 Tm 0.900 0.338 0.900
19 Tm 0.900 0.900 0.338